No. 1
Entry from the Alexandria database: a relaxed structure of AcEr2PuO8 (PBE).

Lattice parameters (Å, degrees): 5.132 5.141 7.244 90.00 90.00 88.88
Site moments in Bohr magnetons follow the coordinates.
Element x y z (fractional)
1 Ac 0.000 0.000 0.500  0.00
2 Pu 0.000 0.000 0.000  1.44
3 O 0.809 0.192 0.793  -0.06
4 O 0.191 0.808 0.793  -0.06
5 O 0.725 0.727 0.000  -0.07
6 O 0.675 0.676 0.500  -0.01
7 O 0.191 0.808 0.207  -0.06
8 O 0.275 0.273 0.000  -0.07
9 O 0.809 0.192 0.207  -0.06
10 O 0.325 0.324 0.500  -0.01
11 Er 0.500 0.500 0.741  -0.01
12 Er 0.500 0.500 0.259  -0.01

Output
- ρ: 8.113 g/cm3
- DOS(E_F): 0.018 states/eV/f.u.
- Spin magnetization: 1.00 μB/cell
- Raw formation energy: -3.054 eV per atom
- VASP energy: -8.657 eV/atom

=====

No. 2
Entry from the Alexandria database: a relaxed structure of Ac2ErPuO6 (PBE).

Lattice parameters (Å, degrees): 6.061 6.265 8.738 90.01 90.08 90.00
Site moments in Bohr magnetons follow the coordinates.
Element x y z (fractional)
1 Ac 0.985 0.049 0.753  0.03
2 Ac 0.515 0.549 0.747  0.03
3 Ac 0.015 0.951 0.247  0.03
4 Ac 0.485 0.451 0.253  0.03
5 Er 0.500 0.000 0.000  0.02
6 Er 0.000 0.500 0.500  0.02
7 O 0.879 0.557 0.256  -0.02
8 O 0.379 0.943 0.756  -0.02
9 O 0.305 0.705 0.070  -0.02
10 O 0.621 0.057 0.244  -0.02
11 O 0.300 0.693 0.440  -0.02
12 O 0.195 0.206 0.430  -0.02
13 O 0.695 0.295 0.930  -0.02
14 O 0.200 0.193 0.059  -0.02
15 O 0.700 0.307 0.560  -0.02
16 O 0.805 0.794 0.570  -0.02
17 O 0.800 0.807 0.941  -0.02
18 O 0.121 0.443 0.744  -0.02
19 Pu 0.000 0.500 0.000  4.90
20 Pu 0.500 0.000 0.500  4.90

Output
- ρ: 9.622 g/cm3
- DOS(E_F): 5.309 states/eV/f.u.
- Spin magnetization: 10.00 μB/cell
- Raw formation energy: -3.267 eV per atom
- VASP energy: -8.953 eV/atom

=====

No. 3
Entry from the Alexandria database: a relaxed structure of Rb4Ac3ErO8 (PBE).

Lattice parameters (Å, degrees): 7.575 7.948 7.575 118.48 120.00 90.00
Element x y z (fractional)
1 Ac 0.500 0.500 0.500
2 Ac 0.500 0.500 0.000
3 Ac 0.000 0.500 0.500
4 Rb 0.000 0.000 0.500
5 Rb 0.000 0.000 0.000
6 Rb 0.500 0.000 0.500
7 Rb 0.500 0.000 0.000
8 O 0.216 0.680 0.964
9 O 0.748 0.680 0.964
10 O 0.216 0.680 0.432
11 O 0.252 0.320 0.036
12 O 0.271 0.313 0.542
13 O 0.784 0.320 0.036
14 O 0.729 0.687 0.458
15 O 0.784 0.320 0.568
16 Er 0.000 0.500 0.000

Output
- ρ: 6.638 g/cm3
- DOS(E_F): 0.000 states/eV/f.u.
- Spin magnetization: 0.00 μB/cell
- Raw formation energy: -2.545 eV per atom
- VASP energy: -6.321 eV/atom

=====

No. 4
Entry from the Alexandria database: a relaxed structure of Rb3Ac2ErO6 (PBE).

Lattice parameters (Å, degrees): 6.496 6.496 6.966 98.87 98.87 120.05
Element x y z (fractional)
1 Ac 0.667 0.333 0.000
2 Ac 0.333 0.667 0.000
3 O 0.750 0.750 0.181
4 O 0.369 0.060 0.181
5 O 0.060 0.369 0.181
6 O 0.940 0.631 0.819
7 O 0.250 0.250 0.819
8 O 0.631 0.940 0.819
9 Er 0.000 0.000 0.000
10 Rb 0.500 0.500 0.500
11 Rb 0.161 0.839 0.500
12 Rb 0.839 0.161 0.500

Output
- ρ: 6.681 g/cm3
- DOS(E_F): 0.000 states/eV/f.u.
- Spin magnetization: 0.00 μB/cell
- Raw formation energy: -2.572 eV per atom
- VASP energy: -6.358 eV/atom

=====

No. 5
Entry from the Alexandria database: a relaxed structure of Ac2ErReO8 (PBE).

Lattice parameters (Å, degrees): 5.085 5.464 7.055 90.16 87.95 93.08
Element x y z (fractional)
1 Ac 0.436 0.485 0.758
2 Ac 0.564 0.515 0.242
3 O 0.689 0.716 0.520
4 O 0.161 0.846 0.781
5 O 0.700 0.792 0.970
6 O 0.123 0.777 0.187
7 O 0.839 0.154 0.219
8 O 0.311 0.284 0.480
9 O 0.877 0.223 0.813
10 O 0.300 0.208 0.030
11 Er 0.000 0.000 0.500
12 Re 0.000 0.000 0.000

Output
- ρ: 7.941 g/cm3
- DOS(E_F): 0.000 states/eV/f.u.
- Spin magnetization: 0.00 μB/cell
- Raw formation energy: -2.657 eV per atom
- VASP energy: -8.065 eV/atom

=====

No. 6
Entry from the Alexandria database: a relaxed structure of AcErReO6 (PBE).

Lattice parameters (Å, degrees): 5.542 5.542 5.279 90.00 90.00 60.00
Site moments in Bohr magnetons follow the coordinates.
Element x y z (fractional)
1 Re 0.333 0.333 0.500  -0.75
2 O 0.038 0.345 0.290  -0.02
3 O 0.617 0.038 0.290  -0.02
4 O 0.617 0.345 0.710  -0.02
5 O 0.038 0.617 0.710  -0.02
6 O 0.345 0.038 0.710  -0.02
7 O 0.345 0.617 0.290  -0.02
8 Ac 0.000 0.000 0.000  -0.03
9 Er 0.667 0.667 0.500  -0.02

Output
- ρ: 8.000 g/cm3
- DOS(E_F): 5.403 states/eV/f.u.
- Spin magnetization: 1.01 μB/cell
- Raw formation energy: -2.655 eV per atom
- VASP energy: -8.307 eV/atom

=====

No. 7
Entry from the Alexandria database: a relaxed structure of Ac2ErRh3O12 (PBE).

Lattice parameters (Å, degrees): 6.761 6.761 6.761 64.09 64.09 64.09
Site moments in Bohr magnetons follow the coordinates.
Element x y z (fractional)
1 Rh 0.000 0.500 0.000  0.91
2 Rh 0.000 0.000 0.500  0.91
3 Rh 0.500 0.000 0.000  0.91
4 O 0.724 0.724 0.138  0.12
5 O 0.144 0.144 0.573  0.26
6 O 0.573 0.144 0.144  0.26
7 O 0.276 0.862 0.276  0.12
8 O 0.276 0.276 0.862  0.12
9 O 0.144 0.573 0.144  0.26
10 O 0.862 0.276 0.276  0.12
11 O 0.724 0.138 0.724  0.12
12 O 0.138 0.724 0.724  0.12
13 O 0.427 0.856 0.856  0.26
14 O 0.856 0.856 0.427  0.26
15 O 0.856 0.427 0.856  0.26
16 Ac 0.614 0.614 0.614  0.02
17 Ac 0.386 0.386 0.386  0.02
18 Er 0.000 0.000 0.000  0.04

Output
- ρ: 7.822 g/cm3
- DOS(E_F): 10.446 states/eV/f.u.
- Spin magnetization: 5.59 μB/cell
- Raw formation energy: -1.680 eV per atom
- VASP energy: -6.921 eV/atom

=====

No. 8
Entry from the Alexandria database: a relaxed structure of AcEr2RuO8 (PBE).

Lattice parameters (Å, degrees): 5.052 5.049 7.007 90.00 90.00 89.38
Site moments in Bohr magnetons follow the coordinates.
Element x y z (fractional)
1 O 0.327 0.324 0.500  0.01
2 O 0.812 0.189 0.197  0.06
3 O 0.728 0.729 0.000  0.01
4 O 0.188 0.811 0.197  0.06
5 O 0.812 0.189 0.803  0.06
6 O 0.673 0.676 0.500  0.01
7 O 0.188 0.811 0.803  0.06
8 O 0.272 0.271 0.000  0.01
9 Ru 0.000 0.000 0.000  0.90
10 Er 0.500 0.500 0.243  0.03
11 Er 0.500 0.500 0.757  0.03
12 Ac 0.000 0.000 0.500  0.01

Output
- ρ: 7.346 g/cm3
- DOS(E_F): 5.638 states/eV/f.u.
- Spin magnetization: 1.35 μB/cell
- Raw formation energy: -2.378 eV per atom
- VASP energy: -7.560 eV/atom

=====

No. 9
Entry from the Alexandria database: a relaxed structure of AcErRuO6 (PBE).

Lattice parameters (Å, degrees): 5.517 5.517 5.286 90.00 90.00 60.00
Site moments in Bohr magnetons follow the coordinates.
Element x y z (fractional)
1 O 0.618 0.037 0.289  0.07
2 O 0.618 0.345 0.711  0.07
3 O 0.037 0.618 0.711  0.07
4 O 0.345 0.037 0.711  0.07
5 O 0.037 0.345 0.289  0.07
6 O 0.345 0.618 0.289  0.07
7 Ru 0.333 0.333 0.500  1.31
8 Ac 0.000 0.000 0.000  0.03
9 Er 0.667 0.667 0.500  0.05

Output
- ρ: 7.046 g/cm3
- DOS(E_F): 5.251 states/eV/f.u.
- Spin magnetization: 2.00 μB/cell
- Raw formation energy: -2.293 eV per atom
- VASP energy: -7.593 eV/atom

=====

No. 10
Entry from the Alexandria database: a relaxed structure of Ac2ErSbO6 (PBE).

Lattice parameters (Å, degrees): 6.630 5.970 8.424 90.00 90.00 90.00
Element x y z (fractional)
1 O 0.799 0.075 0.000
2 O 0.500 0.165 0.244
3 O 0.304 0.575 0.000
4 O 0.804 0.425 0.500
5 O 0.299 0.925 0.500
6 O 0.000 0.835 0.744
7 O 0.701 0.925 0.500
8 O 0.201 0.075 0.000
9 O 0.000 0.835 0.256
10 O 0.696 0.575 0.000
11 O 0.196 0.425 0.500
12 O 0.500 0.165 0.756
13 Ac 0.500 0.765 0.253
14 Ac 0.000 0.235 0.753
15 Ac 0.000 0.235 0.247
16 Ac 0.500 0.765 0.747
17 Sb 0.000 0.779 0.000
18 Sb 0.500 0.221 0.500
19 Er 0.000 0.726 0.500
20 Er 0.500 0.274 0.000

Output
- ρ: 8.357 g/cm3
- Spin magnetization: 0.00 μB/cell
- Raw formation energy: -2.632 eV per atom
- VASP energy: -7.297 eV/atom

=====

No. 11
Entry from the Alexandria database: a relaxed structure of AcErSbO2 (PBE).

Lattice parameters (Å, degrees): 3.994 3.994 7.534 105.37 105.37 90.00
Element x y z (fractional)
1 O 0.241 0.741 0.481
2 O 0.741 0.241 0.481
3 Sb 0.511 0.511 0.021
4 Ac 0.841 0.841 0.681
5 Er 0.168 0.168 0.335

Output
- ρ: 8.168 g/cm3
- DOS(E_F): 1.508 states/eV/f.u.
- Spin magnetization: 0.00 μB/cell
- Raw formation energy: -2.634 eV per atom
- VASP energy: -7.176 eV/atom

=====

No. 12
Entry from the Alexandria database: a relaxed structure of Ac2ErSb2O2 (PBE).

Lattice parameters (Å, degrees): 4.495 4.495 9.096 104.30 104.30 90.00
Element x y z (fractional)
1 Sb 0.185 0.185 0.371
2 Sb 0.815 0.815 0.629
3 Er 0.000 0.000 0.000
4 Ac 0.385 0.385 0.770
5 Ac 0.615 0.615 0.230
6 O 0.500 0.000 0.000
7 O 0.000 0.500 0.000

Output
- ρ: 8.648 g/cm3
- DOS(E_F): 3.652 states/eV/f.u.
- Spin magnetization: 0.00 μB/cell
- Raw formation energy: -2.041 eV per atom
- VASP energy: -6.461 eV/atom

=====

No. 13
Entry from the Alexandria database: a relaxed structure of Ac2ErSbO8 (PBE).

Lattice parameters (Å, degrees): 4.553 5.605 7.197 90.00 90.00 93.59
Element x y z (fractional)
1 Ac 0.500 0.500 0.247
2 Ac 0.500 0.500 0.753
3 O 0.048 0.766 0.790
4 O 0.952 0.234 0.210
5 O 0.048 0.766 0.210
6 O 0.589 0.756 0.500
7 O 0.952 0.234 0.790
8 O 0.569 0.885 0.000
9 O 0.411 0.244 0.500
10 O 0.431 0.115 0.000
11 Sb 0.000 0.000 0.000
12 Er 0.000 0.000 0.500

Output
- ρ: 7.890 g/cm3
- DOS(E_F): 0.000 states/eV/f.u.
- Spin magnetization: 0.00 μB/cell
- Raw formation energy: -2.447 eV per atom
- VASP energy: -7.161 eV/atom

=====

No. 14
Entry from the Alexandria database: a relaxed structure of Ac2ErSe2O2 (PBE).

Lattice parameters (Å, degrees): 4.405 4.405 8.661 104.73 104.73 90.00
Element x y z (fractional)
1 O 0.000 0.500 0.000
2 O 0.500 0.000 0.000
3 Ac 0.628 0.628 0.256
4 Ac 0.372 0.372 0.744
5 Se 0.824 0.824 0.649
6 Se 0.176 0.176 0.351
7 Er 0.000 0.000 0.000

Output
- ρ: 8.589 g/cm3
- DOS(E_F): 2.127 states/eV/f.u.
- Spin magnetization: 0.00 μB/cell
- Raw formation energy: -2.544 eV per atom
- VASP energy: -6.782 eV/atom

=====

No. 15
Entry from the Alexandria database: a relaxed structure of AcErSeO6 (PBE).

Lattice parameters (Å, degrees): 5.215 5.453 5.453 120.00 90.00 90.00
Element x y z (fractional)
1 O 0.296 0.728 0.009
2 O 0.296 0.991 0.719
3 O 0.704 0.281 0.009
4 O 0.296 0.281 0.272
5 O 0.704 0.728 0.719
6 O 0.704 0.991 0.272
7 Se 0.500 0.000 0.000
8 Ac 0.000 0.333 0.667
9 Er 0.500 0.667 0.333

Output
- ρ: 7.038 g/cm3
- DOS(E_F): 0.000 states/eV/f.u.
- Spin magnetization: 0.00 μB/cell
- Raw formation energy: -2.231 eV per atom
- VASP energy: -6.887 eV/atom

=====

No. 16
Entry from the Alexandria database: a relaxed structure of AcErSe2O8 (PBE).

Lattice parameters (Å, degrees): 5.866 5.866 7.321 90.00 90.00 120.00
Site moments in Bohr magnetons follow the coordinates.
Element x y z (fractional)
1 O 0.667 0.333 0.013  0.01
2 O 0.158 0.846 0.715  0.13
3 O 0.688 0.842 0.715  0.13
4 O 0.333 0.667 0.987  0.01
5 O 0.312 0.158 0.285  0.13
6 O 0.154 0.312 0.715  0.13
7 O 0.846 0.688 0.285  0.13
8 O 0.842 0.154 0.285  0.13
9 Se 0.667 0.333 0.242  0.11
10 Se 0.333 0.667 0.758  0.11
11 Ac 0.000 0.000 0.000  0.03
12 Er 0.000 0.000 0.500  0.05

Output
- ρ: 5.177 g/cm3
- DOS(E_F): 3.315 states/eV/f.u.
- Spin magnetization: 1.28 μB/cell
- Raw formation energy: -1.749 eV per atom
- VASP energy: -6.358 eV/atom

=====

No. 17
Entry from the Alexandria database: a relaxed structure of AcErSiO5 (PBE).

Lattice parameters (Å, degrees): 5.948 5.948 7.532 101.98 101.98 107.74
Element x y z (fractional)
1 Si 0.681 0.319 0.250
2 Si 0.319 0.681 0.750
3 Er 0.000 0.000 0.500
4 Er 0.000 0.000 0.000
5 O 0.325 0.891 0.633
6 O 0.262 0.414 0.593
7 O 0.891 0.325 0.133
8 O 0.414 0.262 0.093
9 O 0.902 0.098 0.750
10 O 0.098 0.902 0.250
11 O 0.738 0.586 0.407
12 O 0.586 0.738 0.907
13 O 0.675 0.109 0.367
14 O 0.109 0.675 0.867
15 Ac 0.337 0.663 0.250
16 Ac 0.663 0.337 0.750

Output
- ρ: 7.022 g/cm3
- DOS(E_F): 0.000 states/eV/f.u.
- Spin magnetization: 0.00 μB/cell
- Raw formation energy: -3.293 eV per atom
- VASP energy: -8.153 eV/atom

=====

No. 18
Entry from the Alexandria database: a relaxed structure of Ac2SmErO6 (PBE).

Lattice parameters (Å, degrees): 6.063 6.249 8.737 90.00 90.16 90.00
Element x y z (fractional)
1 Ac 0.985 0.048 0.750
2 Ac 0.485 0.452 0.250
3 Ac 0.015 0.952 0.250
4 Ac 0.515 0.548 0.750
5 Sm 0.000 0.500 0.500
6 Sm 0.500 0.000 0.000
7 O 0.308 0.702 0.433
8 O 0.808 0.798 0.933
9 O 0.798 0.806 0.564
10 O 0.879 0.554 0.245
11 O 0.298 0.694 0.064
12 O 0.121 0.446 0.755
13 O 0.692 0.298 0.567
14 O 0.202 0.194 0.436
15 O 0.379 0.946 0.745
16 O 0.702 0.306 0.936
17 O 0.192 0.202 0.067
18 O 0.621 0.054 0.255
19 Er 0.000 0.500 0.000
20 Er 0.500 0.000 0.500

Output
- ρ: 8.705 g/cm3
- DOS(E_F): 0.000 states/eV/f.u.
- Spin magnetization: 0.00 μB/cell
- Raw formation energy: -3.417 eV per atom
- VASP energy: -8.142 eV/atom

=====

No. 19
Entry from the Alexandria database: a relaxed structure of AcEr2TaO8 (PBE).

Lattice parameters (Å, degrees): 5.039 5.040 7.203 90.00 90.00 90.42
Site moments in Bohr magnetons follow the coordinates.
Element x y z (fractional)
1 O 0.811 0.190 0.204  -0.13
2 O 0.331 0.331 0.500  0.10
3 O 0.715 0.715 0.000  -0.20
4 O 0.189 0.810 0.796  -0.13
5 O 0.669 0.669 0.500  0.10
6 O 0.811 0.190 0.796  -0.13
7 O 0.285 0.285 0.000  -0.20
8 O 0.189 0.810 0.204  -0.13
9 Ac 0.000 0.000 0.500  0.02
10 Ta 0.000 0.000 0.000  0.05
11 Er 0.500 0.500 0.233  0.01
12 Er 0.500 0.500 0.767  0.01

Output
- ρ: 7.902 g/cm3
- DOS(E_F): 6.438 states/eV/f.u.
- Spin magnetization: 0.78 μB/cell
- Raw formation energy: -2.917 eV per atom
- VASP energy: -8.313 eV/atom

=====

No. 20
Entry from the Alexandria database: a relaxed structure of AcErTaO6 (PBE).

Lattice parameters (Å, degrees): 5.166 5.166 10.482 90.00 90.00 90.00
Site moments in Bohr magnetons follow the coordinates.
Element x y z (fractional)
1 O 0.171 0.829 0.514  0.10
2 O 0.274 0.274 0.684  0.16
3 O 0.195 0.805 0.800  0.15
4 O 0.329 0.329 0.014  0.10
5 O 0.829 0.171 0.514  0.10
6 O 0.805 0.195 0.800  0.15
7 O 0.695 0.695 0.300  0.15
8 O 0.671 0.671 0.014  0.10
9 O 0.774 0.226 0.184  0.16
10 O 0.305 0.305 0.300  0.15
11 O 0.226 0.774 0.184  0.16
12 O 0.726 0.726 0.684  0.16
13 Ac 0.500 0.500 0.501  0.02
14 Ac 0.000 0.000 0.001  0.02
15 Ta 0.500 0.500 0.167  -0.04
16 Ta 0.000 0.000 0.667  -0.04
17 Er 0.500 0.500 0.834  -0.02
18 Er 0.000 0.000 0.334  -0.02

Output
- ρ: 7.969 g/cm3
- DOS(E_F): 5.505 states/eV/f.u.
- Spin magnetization: 1.88 μB/cell
- Raw formation energy: -2.980 eV per atom
- VASP energy: -8.566 eV/atom